Density functional theory data (SCAN) for La2ZrZn at its PBEsol-relaxed geometry.

Values from the calculation:
space group = F-43m (216)
density = 7.54 g cm⁻³
VASP energy = -32.492 eV/atom
DOS at the Fermi energy = 3.983 states/eV/f.u.

abc: 5.134 5.134 5.134
angles: 60.00 60.00 60.00
Each line ends with the local moment (μB).
Fractional positions:
La 0.000 0.000 0.000  0.46
La 0.750 0.750 0.750  0.12
Zn 0.500 0.500 0.500  -0.02
Zr 0.250 0.250 0.250  0.62

***

Density functional theory data (SCAN) for Zr2Co at its PBEsol-relaxed geometry.

Values from the calculation:
space group = C2/m (12)
density = 7.45 g cm⁻³
VASP energy = -26.439 eV/atom
DOS at the Fermi energy = 2.524 states/eV/f.u.

abc: 3.302 5.587 6.402
angles: 77.11 75.05 72.81
Fractional positions:
Co 0.362 0.613 0.664
Co 0.638 0.387 0.336
Zr 0.667 0.744 0.921
Zr 0.919 0.799 0.363
Zr 0.081 0.201 0.637
Zr 0.333 0.256 0.079

***

Density functional theory data (SCAN) for YTeS2 at its PBEsol-relaxed geometry.

Values from the calculation:
ΔE_f (raw) = -1.32 eV per atom
space group = R-3m (166)
density = 4.31 g cm⁻³
VASP energy = -22.410 eV/atom
DOS at the Fermi energy = 1.783 states/eV/f.u.

abc: 3.902 3.902 8.498
angles: 76.73 76.73 60.00
Fractional positions:
Y 0.500 0.500 0.500
S 0.893 0.893 0.320
S 0.107 0.107 0.680
Te 0.000 0.000 0.000

***

Density functional theory data (SCAN) for TaCSe2 at its PBEsol-relaxed geometry.

Values from the calculation:
ΔE_f (raw) = 1.17 eV per atom
space group = I-42d (122)
density = 8.15 g cm⁻³
VASP energy = -28.044 eV/atom
DOS at the Fermi energy = 2.906 states/eV/f.u.

abc: 5.467 6.151 5.467
angles: 63.61 90.00 116.39
Fractional positions:
C 0.250 0.500 0.250
C 0.500 0.000 0.500
Se 0.565 0.750 0.375
Se 0.185 0.750 0.875
Se 0.875 0.250 0.565
Se 0.375 0.250 0.185
Ta 0.750 0.500 0.750
Ta 0.000 0.000 0.000

***

Density functional theory data (SCAN) for CeGaNi at its PBEsol-relaxed geometry.

Values from the calculation:
space group = P-62m (189)
density = 8.58 g cm⁻³
VASP energy = -26.336 eV/atom
DOS at the Fermi energy = 1.757 states/eV/f.u.

abc: 3.981 6.725 6.725
angles: 120.00 90.00 90.00
Fractional positions:
Ce 0.500 0.000 0.577
Ce 0.500 0.577 0.000
Ce 0.500 0.423 0.423
Ga 0.000 0.763 0.763
Ga 0.000 0.237 0.000
Ga 0.000 0.000 0.237
Ni 0.000 0.333 0.667
Ni 0.000 0.667 0.333
Ni 0.500 0.000 0.000

***

Density functional theory data (SCAN) for CrAgC3 at its PBEsol-relaxed geometry.

Values from the calculation:
space group = Pm-3m (221)
density = 5.04 g cm⁻³
VASP energy = -12.830 eV/atom
DOS at the Fermi energy = 3.798 states/eV/f.u.

abc: 4.012 4.012 4.012
angles: 90.00 90.00 90.00
Each line ends with the local moment (μB).
Fractional positions:
Cr 0.500 0.500 0.500  3.81
C 0.000 0.500 0.000  -0.15
C 0.000 0.000 0.500  -0.15
C 0.500 0.000 0.000  -0.15
Ag 0.000 0.000 0.000  -0.01

***

Density functional theory data (SCAN) for BePdO2 at its PBEsol-relaxed geometry.

Values from the calculation:
ΔE_f (raw) = -1.40 eV per atom
space group = I-42d (122)
density = 6.45 g cm⁻³
VASP energy = -13.794 eV/atom
DOS at the Fermi energy = 1.211 states/eV/f.u.

abc: 4.494 4.920 4.494
angles: 62.83 90.00 117.17
Fractional positions:
Be 0.250 0.500 0.250
Be 0.500 0.000 0.500
Pd 0.750 0.500 0.750
Pd 0.000 0.000 0.000
O 0.535 0.750 0.375
O 0.215 0.750 0.875
O 0.875 0.250 0.535
O 0.375 0.250 0.215

***

Density functional theory data (SCAN) for YHg2PPd at its PBEsol-relaxed geometry.

Values from the calculation:
space group = P4/mmm (123)
density = 6.86 g cm⁻³
VASP energy = -40.548 eV/atom
DOS at the Fermi energy = 3.508 states/eV/f.u.

abc: 4.910 5.560 5.560
angles: 90.00 90.00 90.00
Each line ends with the local moment (μB).
Fractional positions:
Y 0.000 0.000 0.000  -0.10
P 0.500 0.500 0.500  0.67
Hg 0.000 0.000 0.500  0.01
Hg 0.000 0.500 0.000  0.01
Pd 0.500 0.000 0.000  -0.05

***

Density functional theory data (SCAN) for LiCu2 at its PBEsol-relaxed geometry.

Values from the calculation:
space group = Immm (71)
density = 6.38 g cm⁻³
VASP energy = -10.951 eV/atom
DOS at the Fermi energy = 0.943 states/eV/f.u.

abc: 2.471 3.739 4.390
angles: 115.21 106.35 90.00
Fractional positions:
Cu 0.671 0.671 0.343
Cu 0.329 0.329 0.657
Li 0.000 0.000 0.000

***

Density functional theory data (SCAN) for Ba2SbAs at its PBEsol-relaxed geometry.

Values from the calculation:
ΔE_f (raw) = -0.84 eV per atom
space group = Pmmm (47)
density = 5.37 g cm⁻³
VASP energy = -34.977 eV/atom
DOS at the Fermi energy = 2.421 states/eV/f.u.

abc: 3.717 5.759 6.810
angles: 90.00 90.00 90.00
Fractional positions:
Sb 0.000 0.000 0.000
As 0.500 0.500 0.500
Ba 0.000 0.000 0.500
Ba 0.500 0.500 0.000

***

Density functional theory data (SCAN) for CaNdNb2O7 at its PBEsol-relaxed geometry.

Values from the calculation:
ΔE_f (raw) = -3.14 eV per atom
space group = Imma (74)
density = 5.54 g cm⁻³
VASP energy = -17.968 eV/atom
DOS at the Fermi energy = 3.228 states/eV/f.u.

abc: 7.315 7.430 7.430
angles: 60.59 60.51 60.51
Each line ends with the local moment (μB).
Fractional positions:
Ca 0.000 0.500 0.000  0.00
Ca 0.500 0.500 0.000  0.00
Nd 0.500 0.500 0.500  0.01
Nd 0.500 0.000 0.000  0.01
Nb 0.500 0.000 0.500  0.64
Nb 0.000 0.000 0.500  0.64
Nb 0.000 0.000 0.000  0.22
Nb 0.000 0.500 0.500  0.22
O 0.933 0.317 0.817  -0.01
O 0.339 0.911 0.411  0.02
O 0.924 0.325 0.424  0.00
O 0.327 0.924 0.825  0.00
O 0.327 0.325 0.424  0.00
O 0.924 0.924 0.825  0.00
O 0.067 0.683 0.183  -0.01
O 0.661 0.089 0.589  0.02
O 0.076 0.675 0.576  0.00
O 0.673 0.076 0.175  0.00
O 0.673 0.675 0.576  0.00
O 0.076 0.076 0.175  0.00
O 0.374 0.376 0.876  0.00
O 0.626 0.624 0.124  0.00

***

Density functional theory data (SCAN) for NaGe4P3O12 at its PBEsol-relaxed geometry.

Values from the calculation:
ΔE_f (raw) = -2.02 eV per atom
space group = R3c (161)
density = 3.27 g cm⁻³
VASP energy = -11.346 eV/atom
DOS at the Fermi energy = 0.000 states/eV/f.u.

abc: 9.439 9.439 9.571
angles: 60.46 60.46 60.00
Fractional positions:
Na 0.786 0.786 0.643
Na 0.286 0.286 0.143
Ge 0.927 0.927 0.219
Ge 0.488 0.368 0.308
Ge 0.868 0.988 0.808
Ge 0.427 0.427 0.719
Ge 0.337 0.868 0.808
Ge 0.837 0.488 0.308
Ge 0.988 0.337 0.808
Ge 0.368 0.837 0.308
P 0.027 0.570 0.925
P 0.570 0.478 0.925
P 0.527 0.978 0.425
P 0.478 0.027 0.925
P 0.978 0.070 0.425
P 0.070 0.527 0.425
O 0.663 0.992 0.795
O 0.720 0.866 0.367
O 0.390 0.913 0.948
O 0.550 0.663 0.795
O 0.413 0.890 0.448
O 0.366 0.220 0.867
O 0.482 0.989 0.600
O 0.050 0.492 0.295
O 0.890 0.249 0.448
O 0.929 0.482 0.600
O 0.163 0.050 0.295
O 0.913 0.749 0.948
O 0.489 0.982 0.100
O 0.749 0.390 0.948
O 0.548 0.366 0.867
O 0.249 0.413 0.448
O 0.992 0.550 0.795
O 0.220 0.548 0.867
O 0.982 0.429 0.100
O 0.048 0.720 0.367
O 0.429 0.489 0.100
O 0.989 0.929 0.600
O 0.866 0.048 0.367
O 0.492 0.163 0.295